A relaxed MnZnSi crystal. Source: Alexandria via LeMat-Bulk, functional PBE.

Formation energy without anion corrections (eV per atom): 0.1380

Cell lengths 5.743, 5.743, 5.743 Å; angles 90.00, 90.00, 90.00 degrees
Space group F-43m (No. 216)
Unique sites:
Mn  0.000  0.000  0.000 x4
Zn  0.000  0.000  0.500 x4
Si  0.250  0.250  0.250 x4



A relaxed AgRuNF2 crystal. Source: Alexandria via LeMat-Bulk, functional PBE.

Formation energy without anion corrections (eV per atom): 0.8015
Energy above the lowest structure with this stoichiometry (meV per atom): 1180

Cell lengths 4.355, 4.355, 3.998 Å; angles 90.00, 90.00, 90.00 degrees
Space group P4/mmm (No. 123)
Unique sites:
Ag  0.000  0.000  0.000 x1
Ru  0.500  0.500  0.500 x1
N  0.000  0.000  0.500 x1
F  0.000  0.500  0.000 x2



A relaxed Tb4CdPdAu2 crystal. Source: Alexandria via LeMat-Bulk, functional PBE.

ΔE_f (eV/atom): -0.721

Cell lengths 5.1215, 5.1215, 25.1346 Å; angles 90.00, 90.00, 120.00 degrees
Space group R-3m (No. 166, hexagonal axes)
Unique sites:
Tb  0.0000  0.0000  0.1186 x6
Tb  0.0000  0.0000  0.3699 x6
Cd  0.0000  0.0000  0.5000 x3
Pd  0.0000  0.0000  0.0000 x3
Au  0.0000  0.0000  0.2418 x6



A relaxed ErBO3 crystal. Source: Alexandria via LeMat-Bulk, functional PBE.

Formation energy without anion corrections (eV per atom): -3.0661

Cell lengths 8.376, 6.439, 4.405 Å; angles 90.00, 90.00, 90.00 degrees
Space group Ama2 (No. 40)
Unique sites:
Er  0.000  0.000  0.000 x4
B  0.250  0.139  0.549 x4
O  0.102  0.173  0.415 x8
O  0.250  0.077  0.848 x4



A relaxed CeTm12Pb7 crystal. Source: Alexandria via LeMat-Bulk, functional PBE.

ΔE_f (eV/atom): -0.220

Cell lengths 15.2842, 15.2842, 8.9764 Å; angles 90.00, 90.00, 120.00 degrees
Space group R-3m (No. 166, hexagonal axes)
Unique sites:
Ce  0.0000  0.0000  0.0000 x3
Tm  0.0000  0.2784  0.0000 x18
Tm  0.1109  0.2218  0.3926 x18
Pb  0.0000  0.0000  0.5000 x3
Pb  0.1028  0.2056  0.7652 x18



A relaxed CaInB2 crystal. Source: Alexandria via LeMat-Bulk, functional PBE.

ΔE_f (eV/atom): 0.795

Cell lengths 4.363, 4.363, 15.575 Å; angles 90.00, 90.00, 90.00 degrees
Space group I4_1/amd (No. 141, origin choice 2)
Unique sites:
Ca  0.000  0.250  0.375 x4
In  0.000  0.250  0.875 x4
B  0.000  0.000  0.000 x8



A relaxed AlPO2F crystal. Source: Alexandria via LeMat-Bulk, functional PBE.

Formation energy without anion corrections (eV per atom): -1.4270

Cell lengths 3.780, 3.780, 3.590 Å; angles 90.00, 90.00, 90.00 degrees
Space group P4/mmm (No. 123)
Unique sites:
Al  0.000  0.000  0.000 x1
P  0.500  0.500  0.500 x1
O  0.000  0.500  0.000 x2
F  0.000  0.000  0.500 x1



A relaxed BaRuCl2 crystal. Source: Alexandria via LeMat-Bulk, functional PBE.

Formation energy without anion corrections (eV per atom): -0.4104
Energy above the lowest structure with this stoichiometry (meV per atom): 363

Cell lengths 7.060, 8.754, 4.680 Å; angles 90.00, 125.91, 90.00 degrees
Space group C2/m (No. 12)
Unique sites:
Ba  0.000  0.000  0.000 x2
Ru  0.000  0.500  0.000 x2
Cl  0.250  0.250  0.500 x4



Quick rundown of magnetic moment, same order as above: 13.53, 4.51, 0.00, 0.00, 3.85, 0.00, 0.00, 4.30 μB per cell